[1]
Material: LaGe2Pb
Method: DFT, GGA-PBE
State: relaxed

Values from the calculation:
Energy of formation in eV/atom: -0.4112

```
data_LaGe2Pb
_space_group_name_H-M_alt 'P 4/m m m'
_space_group_IT_number 123
_space_group_name_Hall '-P 4 2'
_cell_length_a 4.7808
_cell_length_b 4.7808
_cell_length_c 4.3578
_cell_angle_alpha 90.00
_cell_angle_beta 90.00
_cell_angle_gamma 90.00
loop_
_atom_site_label
_atom_site_fract_x
_atom_site_fract_y
_atom_site_fract_z
La1 0.0000 0.0000 0.0000
Ge1 0.0000 0.5000 0.5000
Pb1 0.5000 0.5000 0.0000
```


[2]
Material: La2GePb
Method: DFT, GGA-PBE
State: relaxed

Values from the calculation:
Energy of formation in eV/atom: -0.5898

```
data_La2GePb
_space_group_name_H-M_alt 'R -3 m'
_space_group_IT_number 166
_space_group_name_Hall '-R 3 2"'
_cell_length_a 4.3536
_cell_length_b 4.3536
_cell_length_c 24.5876
_cell_angle_alpha 90.00
_cell_angle_beta 90.00
_cell_angle_gamma 120.00
loop_
_atom_site_label
_atom_site_fract_x
_atom_site_fract_y
_atom_site_fract_z
La1 0.0000 0.0000 0.2374
Ge1 0.0000 0.0000 0.5000
Pb1 0.0000 0.0000 0.0000
```


[3]
Material: LaGePb2
Method: DFT, GGA-PBE
State: relaxed

Values from the calculation:
Energy of formation in eV/atom: -0.2248

```
data_LaGePb2
_space_group_name_H-M_alt 'I -4 2 d'
_space_group_IT_number 122
_space_group_name_Hall 'I -4 2bw'
_cell_length_a 8.7659
_cell_length_b 8.7659
_cell_length_c 6.3165
_cell_angle_alpha 90.00
_cell_angle_beta 90.00
_cell_angle_gamma 90.00
loop_
_atom_site_label
_atom_site_fract_x
_atom_site_fract_y
_atom_site_fract_z
La1 0.0000 0.0000 0.0000
Ge1 0.0000 0.0000 0.5000
Pb1 0.2045 0.2500 0.6250
```


[4]
Material: La8Ge5Pb
Method: DFT, GGA-PBE
State: relaxed

Values from the calculation:
Energy of formation in eV/atom: -0.7899

```
data_La8Ge5Pb
_space_group_name_H-M_alt 'I -4'
_space_group_IT_number 82
_cell_length_a 9.4686
_cell_length_b 9.4686
_cell_length_c 9.4758
_cell_angle_alpha 90.00
_cell_angle_beta 90.00
_cell_angle_gamma 90.00
loop_
_space_group_symop_operation_xyz
'x,y,z'
'y,-x,-z'
'-x,-y,z'
'-y,x,-z'
'x+1/2,y+1/2,z+1/2'
'y+1/2,-x+1/2,-z+1/2'
'-x+1/2,-y+1/2,z+1/2'
'-y+1/2,x+1/2,-z+1/2'
loop_
_atom_site_label
_atom_site_fract_x
_atom_site_fract_y
_atom_site_fract_z
La1 0.0667 0.1865 0.3129
La2 0.0689 0.3275 0.9388
Ge1 0.0000 0.5000 0.2500
Ge2 0.1255 0.2503 0.6264
Pb1 0.0000 0.0000 0.0000
```


[5]
Material: La3Ge2Pb2
Method: DFT, GGA-PBE
State: relaxed

Values from the calculation:
Energy of formation in eV/atom: -0.6387

```
data_La3Ge2Pb2
_space_group_name_H-M_alt 'C 1 2/m 1'
_space_group_IT_number 12
_cell_length_a 11.8887
_cell_length_b 4.6171
_cell_length_c 8.2842
_cell_angle_alpha 90.00
_cell_angle_beta 113.92
_cell_angle_gamma 90.00
loop_
_space_group_symop_operation_xyz
'x,y,z'
'-x,-y,-z'
'-x,y,-z'
'x,-y,z'
'x+1/2,y+1/2,z'
'-x+1/2,-y+1/2,-z'
'-x+1/2,y+1/2,-z'
'x+1/2,-y+1/2,z'
loop_
_atom_site_label
_atom_site_fract_x
_atom_site_fract_y
_atom_site_fract_z
La1 0.0000 0.0000 0.0000
La2 0.1792 0.0000 0.6537
Ge1 0.2036 0.5000 0.9264
Pb1 0.0458 0.5000 0.3357
```


[6]
Material: La6Ge2Pb
Method: DFT, GGA-PBE
State: relaxed

Values from the calculation:
Energy of formation in eV/atom: -0.5704

```
data_La6Ge2Pb
_space_group_name_H-M_alt 'I m m m'
_space_group_IT_number 71
_space_group_name_Hall '-I 2 2'
_cell_length_a 10.0612
_cell_length_b 10.4143
_cell_length_c 10.9173
_cell_angle_alpha 90.00
_cell_angle_beta 90.00
_cell_angle_gamma 90.00
loop_
_atom_site_label
_atom_site_fract_x
_atom_site_fract_y
_atom_site_fract_z
La1 0.0000 0.2068 0.2455
La2 0.2080 0.5000 0.1789
La3 0.2237 0.3127 0.5000
Ge1 0.0000 0.3699 0.0000
Ge2 0.0000 0.5000 0.3836
Pb1 0.0000 0.0000 0.0000
Pb2 0.0000 0.0000 0.5000
```